The following is a DFT calculation (GGA-PBE) of a relaxed La5PrSm5 crystal.

a = 19.308 Å, b = 6.168 Å, c = 7.163 Å
α = 90.00°, β = 111.29°, γ = 90.00°
Space group C2/m (No. 12)
Inequivalent atoms, fractional coordinates:
La: 0.000 0.000 0.000 x2
La: 0.175 0.500 0.418 x4
La: 0.175 0.500 0.931 x4
Pr: 0.000 0.500 0.000 x2
Sm: 0.000 0.500 0.500 x2
Sm: 0.124 0.000 0.627 x4
Sm: 0.169 0.000 0.172 x4

Values from the calculation:
energy above the lowest structure with this stoichiometry: 0.0 meV per atom
N(E_F): 1.777 states/eV/atom
DFT total energy: -101.245 eV for the cell shown